The following is a DFT calculation (PBE) of an optimized crystal structure of AlCuAg14.

a b c (Å): 9.511 5.838 10.093
angles (deg): 90.00 90.00 90.00
Space group Amm2 (No. 38)
Symmetry-distinct sites (fractional):
1 Al 0.000 0.000 0.000 [2 per cell]
2 Cu 0.000 0.000 0.501 [2 per cell]
3 Ag 0.000 0.250 0.253 [4 per cell]
4 Ag 0.240 0.250 0.079 [8 per cell]
5 Ag 0.249 0.000 0.333 [4 per cell]
6 Ag 0.249 0.000 0.832 [4 per cell]
7 Ag 0.500 0.000 0.163 [2 per cell]
8 Ag 0.500 0.000 0.664 [2 per cell]
9 Ag 0.500 0.250 0.416 [4 per cell]

* crystal system: orthorhombic
* calculated total energy: -94.78 eV for the cell shown